## ZnCr2Cl (PBE)

Data for an optimized crystal structure of ZnCr2Cl.

Structure (POSCAR):
```
ZnCr2Cl
1.0
4.7262 0.0000 0.0000
0.0000 4.7262 0.0000
0.0000 0.0000 3.0340
Zn Cr Cl
1 2 1
Direct
0.0000 0.0000 0.0000
0.0000 0.5000 0.5000
0.5000 0.0000 0.5000
0.5000 0.5000 0.0000
```

Results
Raw formation energy in kcal/mol of atoms: 12.3
Symmetry: P4/mmm
Final energy in eV per atom: -5.060
Calculated volume in Å³/cell: 67.8
Magnetic moment in μB/atom: 2.04


## SrPtPb3 (PBE)

Data for an optimized crystal structure of SrPtPb3.

Structure (POSCAR):
```
SrPtPb3
1.0
10.5220 0.0000 0.0000
0.0000 4.4789 0.0000
0.0000 0.0000 12.4828
Sr Pt Pb
4 4 12
Direct
0.2023 0.2500 0.0039
0.2977 0.7500 0.5039
0.7023 0.2500 0.4961
0.7977 0.7500 0.9961
0.1289 0.2500 0.3680
0.3711 0.7500 0.8680
0.6289 0.2500 0.1320
0.8711 0.7500 0.6320
0.0503 0.2500 0.5929
0.0922 0.7500 0.8015
0.1742 0.7500 0.2250
0.3258 0.2500 0.7250
0.4078 0.2500 0.3015
0.4497 0.7500 0.0929
0.5503 0.2500 0.9071
0.5922 0.7500 0.6985
0.6742 0.7500 0.2750
0.8258 0.2500 0.7750
0.9078 0.2500 0.1985
0.9497 0.7500 0.4071
```

Results
DFT formation energy in kJ per mole of atoms: -34
Symmetry: Pnma
Final energy in eV per atom: -4.125
Calculated volume in Å³/cell: 588.3
Magnetic moment in μB/atom: 0.00


## Na3Cd4In2 (PBE)

Data for an optimized crystal structure of Na3Cd4In2.

Structure (POSCAR):
```
Na3Cd4In2
1.0
7.6711 -4.4301 0.0000
7.6711 4.4301 0.0000
-0.0013 0.0000 6.7471
Na Cd In
6 8 4
Direct
0.0002 0.9998 0.2500
0.9998 0.0002 0.7500
0.3343 0.3350 0.7500
0.3350 0.3343 0.2500
0.6650 0.6657 0.7500
0.6657 0.6650 0.2500
0.0025 0.6636 0.9992
0.3329 0.6646 0.0001
0.3354 0.6671 0.4999
0.3364 0.9975 0.5008
0.6636 0.0025 0.4992
0.6646 0.3329 0.5001
0.6671 0.3354 0.9999
0.9975 0.3364 0.0008
0.0017 0.3300 0.5013
0.3300 0.0017 0.0013
0.6700 0.9983 0.9987
0.9983 0.6700 0.4987
```

Results
DFT formation energy in kJ per mole of atoms: -12
Symmetry: C2/c
Final energy in eV per atom: -1.577
Calculated volume in Å³/cell: 458.6
Magnetic moment in μB/atom: 0.00


## ScAg3Mo (PBE)

Data for an optimized crystal structure of ScAg3Mo.

Structure (POSCAR):
```
ScAg3Mo
1.0
5.0079 0.0000 0.0000
0.0000 5.0079 0.0000
0.0000 0.0000 5.0079
Sc Ag Mo
1 3 1
Direct
0.0000 0.0000 0.0000
0.0000 0.5000 0.5000
0.5000 0.0000 0.5000
0.5000 0.5000 0.0000
0.5000 0.5000 0.5000
```

Results
DFT formation energy in kJ per mole of atoms: 121
Symmetry: Pm-3m
Final energy in eV per atom: -3.891
Calculated volume in Å³/cell: 125.6
Magnetic moment in μB/atom: 0.20


## Th2H3Pb (PBE)

Data for an optimized crystal structure of Th2H3Pb.

Structure (POSCAR):
```
Th2H3Pb
1.0
7.8702 -2.0558 0.0000
7.8702 2.0558 0.0000
-3.6589 0.0000 6.6706
Th H Pb
4 6 2
Direct
0.0006 0.0006 0.2197
0.3364 0.3364 0.3363
0.6636 0.6636 0.6637
0.9994 0.9994 0.7803
0.1425 0.1425 0.7813
0.1438 0.1438 0.5036
0.5004 0.5004 0.3639
0.4996 0.4996 0.6361
0.8562 0.8562 0.4964
0.8575 0.8575 0.2187
0.3498 0.3498 0.8519
0.6502 0.6502 0.1481
```

Results
Symmetry: C2/m
Final energy in eV per atom: -5.140
Calculated volume in Å³/cell: 215.9
Magnetic moment in μB/atom: 0.00


## ZrTeAu (PBE)

Data for an optimized crystal structure of ZrTeAu.

Structure (POSCAR):
```
ZrTeAu
1.0
0.0000 3.4000 3.4000
3.4000 0.0000 3.4000
3.4000 3.4000 0.0000
Zr Te Au
1 1 1
Direct
0.0000 0.0000 0.0000
0.7500 0.7500 0.7500
0.2500 0.2500 0.2500
```

Results
Raw formation energy in kcal/mol of atoms: -8.1
Symmetry: F-43m
Final energy in eV per atom: -5.338
Calculated volume in Å³/cell: 78.6
Magnetic moment in μB/atom: 0.00